# 1
A plane-wave DFT calculation with GGA-PBE was carried out for a relaxed structure of IrPb3.

Results
Polymorph energy (0 for the lowest one) ... 219 meV/atom
N(E_F) ... 2.41 states/eV per cell
Symmetry ... Fm-3m

Cell: 5.185 5.185 5.185 Å, 60.00 60.00 60.00°
Positions (direct):
Ir  0.000  0.000  0.000
Pb  0.250  0.250  0.250
Pb  0.500  0.500  0.500
Pb  0.750  0.750  0.750



# 2
A plane-wave DFT calculation with GGA-PBE was carried out for a relaxed structure of Ir2Pb.

Results
Polymorph energy (0 for the lowest one) ... 89 meV/atom
N(E_F) ... 5.09 states/eV per cell
Symmetry ... Cm

Cell: 5.204 5.204 7.898 Å, 87.39 87.39 32.48°
Positions (direct):
Ir  0.962  0.962  0.077
Ir  0.321  0.321  0.310
Ir  0.732  0.732  0.574
Ir  0.592  0.592  0.294
Pb  0.995  0.995  0.642
Pb  0.232  0.232  0.936



# 3
A plane-wave DFT calculation with GGA-PBE was carried out for a relaxed structure of Ir2Pb.

Results
Polymorph energy (0 for the lowest one) ... 388 meV/atom
N(E_F) ... 12.39 states/eV per cell
Symmetry ... P-62m

Cell: 7.859 7.859 2.961 Å, 90.00 90.00 120.00°
Positions (direct):
Ir  0.306  0.000  0.000
Ir  0.000  0.306  0.000
Ir  0.694  0.694  0.000
Ir  0.638  0.000  0.500
Ir  0.000  0.638  0.500
Ir  0.362  0.362  0.500
Pb  0.333  0.667  0.000
Pb  0.667  0.333  0.000
Pb  0.000  0.000  0.500



Record-wise V values, in Å³/cell: 99 115 158
Record-wise spin magnetization values, in μB/f.u.: 0.0 0.0 0.0
Record-wise VASP energy values, in eV per formula unit: -18.2 -20.2 -19.3